(1)
The following is a DFT calculation (GGA-PBE) of crystalline MnHgP2 at its relaxed geometry.

a b c (Å): 4.3764 4.3764 3.5394
angles (deg): 90.00 90.00 90.00
Last column: nearest neighbours and their distance in Å.
Sites, in units of the cell vectors:
Mn 0.0000 0.0000 0.0000  8 P 2.81, 4 Hg 3.09
Hg 0.5000 0.5000 0.0000  8 P 2.81, 4 Mn 3.09
P 0.0000 0.5000 0.5000  4 Hg 2.81, 4 Mn 2.81, 4 P 3.09
P 0.5000 0.0000 0.5000  4 Hg 2.81, 4 Mn 2.81, 4 P 3.09

Calculated values
Total magnetic moment = 0.86 μB/atom
Formation enthalpy at 0 K = 514 meV per atom

=====

(2)
The following is a DFT calculation (GGA-PBE) of crystalline MnHg4P at its relaxed geometry.

a b c (Å): 5.8275 5.8275 5.8275
angles (deg): 60.00 60.00 60.00
Last column: nearest neighbours and their distance in Å.
Sites, in units of the cell vectors:
Mn 0.0000 0.0000 0.0000  12 Hg 3.42, 4 P 3.57
Hg 0.3751 0.3751 0.3751  6 Hg 2.91-2.92
Hg 0.3751 0.3751 0.8747  6 Hg 2.91-2.92
Hg 0.3751 0.8747 0.3751  6 Hg 2.91-2.92
Hg 0.8747 0.3751 0.3751  6 Hg 2.91-2.92
P 0.7500 0.7500 0.7500  12 Hg 3.42, 4 Mn 3.57

Calculated values
Total magnetic moment = 0.71 μB/atom
Formation enthalpy at 0 K = 703 meV per atom

=====

(3)
The following is a DFT calculation (GGA-PBE) of crystalline Mn2HgP at its relaxed geometry.

a b c (Å): 4.7096 4.7096 15.0924
angles (deg): 90.00 90.00 90.00
Last column: nearest neighbours and their distance in Å.
Sites, in units of the cell vectors:
Mn 0.1385 0.2500 0.1250  2 P 2.32
Mn 0.2500 0.6385 0.3750  2 P 2.32
Mn 0.2500 0.8615 0.8750  2 P 2.32
Mn 0.3615 0.2500 0.6250  2 P 2.32
Mn 0.6385 0.7500 0.6250  2 P 2.32
Mn 0.7500 0.1385 0.8750  2 P 2.32
Mn 0.7500 0.3615 0.3750  2 P 2.32
Mn 0.8615 0.7500 0.1250  2 P 2.32
Hg 0.0000 0.0000 0.5000  4 Mn 2.80
Hg 0.0000 0.5000 0.7500  4 Mn 2.80
Hg 0.5000 0.0000 0.2500  4 Mn 2.80
Hg 0.5000 0.5000 0.0000  4 Mn 2.80
P 0.0000 0.0000 0.0000  4 Mn 2.32
P 0.0000 0.5000 0.2500  4 Mn 2.32
P 0.5000 0.0000 0.7500  4 Mn 2.32
P 0.5000 0.5000 0.5000  4 Mn 2.32

Calculated values
Total magnetic moment = 1.83 μB/atom
Formation enthalpy at 0 K = 419 meV per atom

=====

Question: total magnetic moment of number 1 (MnHgP2)?
Answer: 0.86 μB/atom

=====

Question: Number 3 is which compound?
Answer: Mn2HgP